Entry 1:
! MnFeNi2Pt (PBE-GGA, optimized geometry); values from VASP
&SYSTEM
  ibrav = 0, nat = 5, ntyp = 4
/
ATOMIC_SPECIES
Ni 58.69 Ni.upf
Mn 54.94 Mn.upf
Fe 55.84 Fe.upf
Pt 195.08 Pt.upf
ATOMIC_POSITIONS angstrom
Ni 1.945 0.464 0.701
Ni -0.628 1.976 0.436
Mn -0.534 -0.582 1.869
Fe 0.000 0.000 0.000
Pt 0.782 1.858 3.005
CELL_PARAMETERS angstrom
-1.257 3.951 0.871
-1.069 -1.164 3.738
3.889 0.928 1.401
! Total energy (eV/atom): -6.082
! Energy of formation from the pure elements (eV/atom): 0.965

---

Entry 2:
! USi2Ru4 (PBE-GGA, optimized geometry); values from VASP
&SYSTEM
  ibrav = 0, nat = 28, ntyp = 3
/
ATOMIC_SPECIES
U 238.03 U.upf
Si 28.09 Si.upf
Ru 101.07 Ru.upf
ATOMIC_POSITIONS angstrom
U 2.969 6.432 10.574
U 0.990 0.006 5.986
U 0.990 3.213 14.266
U 2.969 3.225 2.294
Si 0.990 4.698 8.970
Si 2.969 1.740 7.590
Si 2.969 1.479 15.870
Si 0.990 4.959 0.690
Si 0.990 6.364 12.927
Si 2.969 0.074 3.633
Si 2.969 3.145 11.913
Si 0.990 3.293 4.647
Ru 0.990 1.782 11.327
Ru 2.969 4.656 5.234
Ru 2.969 5.001 13.514
Ru 0.990 1.437 3.046
Ru 0.990 4.475 11.408
Ru 2.969 1.963 5.152
Ru 2.969 1.256 13.433
Ru 0.990 5.182 3.128
Ru 0.990 0.903 8.840
Ru 2.969 5.535 7.720
Ru 2.969 4.122 16.000
Ru 0.990 2.316 0.560
Ru 0.990 3.206 7.055
Ru 2.969 3.232 9.505
Ru 2.969 6.425 1.225
Ru 0.990 0.013 15.335
CELL_PARAMETERS angstrom
3.958 0.000 0.000
0.000 6.438 0.000
0.000 0.000 16.560
! Total energy (eV/atom): -9.009
! Energy relative to the elements, uncorrected (meV/atom): -547

---

Entry 3:
! PSe2Br (PBE-GGA, optimized geometry); values from VASP
&SYSTEM
  ibrav = 0, nat = 16, ntyp = 3
/
ATOMIC_SPECIES
P 30.97 P.upf
Se 78.96 Se.upf
Br 79.90 Br.upf
ATOMIC_POSITIONS angstrom
P -4.972 -0.108 6.065
P -5.899 -2.310 2.749
P -7.588 0.610 9.282
P -3.284 -3.027 -0.468
Se -12.570 2.783 4.033
Se 1.699 -5.200 4.781
Se -7.721 -1.620 4.036
Se -3.151 -0.797 4.778
Se -3.505 -4.524 1.258
Se -7.366 2.106 7.556
Se -6.380 -1.587 0.624
Se -4.491 -0.830 8.190
Br -5.052 1.003 1.848
Br -5.820 -3.421 6.966
Br -0.987 -2.876 2.217
Br -9.885 0.459 6.597
CELL_PARAMETERS angstrom
-3.365 -3.708 -1.910
3.340 -5.497 4.787
-10.846 6.788 5.937
! Total energy (eV/atom): -3.532
! Energy relative to the elements, uncorrected (meV/atom): -19
! E above lowest polymorph (kJ per mole of atoms): 0.0

---

Entry 4:
! AcNdCuSn (PBE-GGA, optimized geometry); values from VASP
&SYSTEM
  ibrav = 0, nat = 4, ntyp = 4
/
ATOMIC_SPECIES
Ac 227.00 Ac.upf
Nd 144.24 Nd.upf
Sn 118.71 Sn.upf
Cu 63.55 Cu.upf
ATOMIC_POSITIONS angstrom
Ac 2.773 -6.076 0.727
Nd 0.000 0.000 0.000
Sn 1.386 -3.038 0.363
Cu 4.159 -9.115 1.090
CELL_PARAMETERS angstrom
-0.788 -5.084 1.903
2.152 -4.288 -2.659
4.181 -2.780 2.209
! Total energy (eV/atom): -4.601
! Energy of formation from the pure elements (eV/atom): -0.357

---

Entry 5:
! Ti2Cu2B (PBE-GGA, optimized geometry); values from VASP
&SYSTEM
  ibrav = 0, nat = 10, ntyp = 3
/
ATOMIC_SPECIES
B 10.81 B.upf
Cu 63.55 Cu.upf
Ti 47.87 Ti.upf
ATOMIC_POSITIONS angstrom
B 0.000 0.000 0.000
B 0.310 -4.148 -0.414
Cu 0.277 -3.574 2.590
Cu -0.367 -6.489 1.434
Cu -2.550 -5.225 -0.536
Cu -1.906 -2.310 0.620
Ti 1.844 -4.936 0.988
Ti -0.070 -6.209 -1.156
Ti -1.224 -3.360 -1.816
Ti 0.690 -2.087 0.328
CELL_PARAMETERS angstrom
-2.646 -4.074 -3.368
3.266 -4.222 2.541
-2.893 -0.504 2.882
! Total energy (eV/atom): -5.761
! Energy of formation from the pure elements (eV/atom): 0.371
! E above lowest polymorph (kJ per mole of atoms): 2.7

---

Entry 6:
! BaAl2Zn3 (PBE-GGA, optimized geometry); values from VASP
&SYSTEM
  ibrav = 0, nat = 12, ntyp = 3
/
ATOMIC_SPECIES
Ba 137.33 Ba.upf
Al 26.98 Al.upf
Zn 65.41 Zn.upf
ATOMIC_POSITIONS angstrom
Ba 1.398 2.169 1.769
Ba 4.195 4.387 3.579
Al 2.796 5.287 0.211
Al 0.000 5.287 0.211
Al 0.000 1.269 5.137
Al 2.796 1.269 5.137
Zn 4.195 3.089 -0.031
Zn 4.195 0.590 3.032
Zn 1.398 3.467 5.379
Zn 4.195 0.529 0.432
Zn 1.398 6.027 4.916
Zn 1.398 5.966 2.316
CELL_PARAMETERS angstrom
5.593 0.000 0.000
0.000 6.686 -1.504
0.000 -0.130 6.852
! Total energy (eV/atom): -2.403
! Energy of formation from the pure elements (eV/atom): -0.199

---

Entry 7:
! Dy3YSc2Te6 (PBE-GGA, optimized geometry); values from VASP
&SYSTEM
  ibrav = 0, nat = 12, ntyp = 4
/
ATOMIC_SPECIES
Dy 162.50 Dy.upf
Y 88.91 Y.upf
Sc 44.96 Sc.upf
Te 127.60 Te.upf
ATOMIC_POSITIONS angstrom
Dy 2.142 4.305 0.153
Dy 2.142 -0.209 6.171
Dy 0.000 6.338 3.165
Y 2.142 0.000 0.000
Sc 2.142 4.101 6.244
Sc 0.000 2.028 3.092
Te 0.000 6.174 6.245
Te 2.142 4.101 3.256
Te 2.142 -0.045 3.091
Te 0.000 2.154 0.181
Te 2.142 3.975 9.155
Te 0.000 2.028 6.080
CELL_PARAMETERS angstrom
4.285 0.000 0.000
0.000 8.610 0.306
-2.142 -2.481 9.030
! Total energy (eV/atom): -5.535
! Energy relative to the elements, uncorrected (meV/atom): -1220

---

Entry 8:
! Tb2Ce3PmAs6 (PBE-GGA, optimized geometry); values from VASP
&SYSTEM
  ibrav = 0, nat = 12, ntyp = 4
/
ATOMIC_SPECIES
Tb 158.93 Tb.upf
Ce 140.12 Ce.upf
Pm 145.00 Pm.upf
As 74.92 As.upf
ATOMIC_POSITIONS angstrom
Tb -0.002 4.197 0.000
Tb 3.636 2.095 0.000
Ce -2.431 4.200 3.421
Ce 4.853 -0.007 3.421
Ce 1.211 2.097 3.421
Pm 0.000 0.000 0.000
As 3.645 2.074 5.135
As 2.409 4.172 1.702
As -1.223 2.119 1.708
As -0.025 4.193 5.135
As 0.012 0.021 5.141
As 2.447 0.000 1.708
CELL_PARAMETERS angstrom
7.266 -0.001 0.000
-3.632 6.293 0.000
-1.212 -2.099 6.842
! Total energy (eV/atom): -6.459
! Energy of formation from the pure elements (eV/atom): -1.483

---

Entry 9:
! Be2NiTe (PBE-GGA, optimized geometry); values from VASP
&SYSTEM
  ibrav = 0, nat = 4, ntyp = 3
/
ATOMIC_SPECIES
Ni 58.69 Ni.upf
Te 127.60 Te.upf
Be 9.01 Be.upf
ATOMIC_POSITIONS angstrom
Ni -1.708 1.568 1.228
Te -2.483 -0.839 0.113
Be 0.000 0.000 0.000
Be -2.034 1.285 -1.360
CELL_PARAMETERS angstrom
-1.259 3.692 -0.246
-2.809 -1.123 -2.475
-2.158 -0.556 2.701
! Total energy (eV/atom): -3.682
! Energy relative to the elements, uncorrected (meV/atom): 412

---

Entry 10:
! TlCuTe2 (PBE-GGA, optimized geometry); values from VASP
&SYSTEM
  ibrav = 0, nat = 8, ntyp = 3
/
ATOMIC_SPECIES
Tl 204.38 Tl.upf
Te 127.60 Te.upf
Cu 63.55 Cu.upf
ATOMIC_POSITIONS angstrom
Tl 5.213 1.022 0.473
Tl 3.629 2.016 4.294
Te 8.440 5.630 4.830
Te 3.327 4.129 0.944
Te 6.213 4.273 3.423
Te 1.936 1.308 1.370
Cu 3.848 5.381 3.163
Cu 7.345 3.479 1.265
CELL_PARAMETERS angstrom
6.576 -0.230 0.118
2.202 5.880 -0.161
1.513 1.839 6.137
! Total energy (eV/atom): -3.283
! Energy relative to the elements, uncorrected (meV/atom): -97

---

Entry 11:
! CaSm2Zn (PBE-GGA, optimized geometry); values from VASP
&SYSTEM
  ibrav = 0, nat = 4, ntyp = 3
/
ATOMIC_SPECIES
Zn 65.41 Zn.upf
Ca 40.08 Ca.upf
Sm 150.36 Sm.upf
ATOMIC_POSITIONS angstrom
Zn 0.000 0.000 0.000
Ca -1.970 -1.173 6.475
Sm -0.831 -0.828 2.823
Sm -3.110 -1.518 10.127
CELL_PARAMETERS angstrom
-2.004 -2.966 0.980
1.517 -2.650 2.109
-3.454 3.271 9.860
! Total energy (eV/atom): -3.183
! Energy of formation from the pure elements (eV/atom): -0.004
! E above lowest polymorph (kJ per mole of atoms): 10.5

---

Entry 12:
! KCd2S2 (PBE-GGA, optimized geometry); values from VASP
&SYSTEM
  ibrav = 0, nat = 5, ntyp = 3
/
ATOMIC_SPECIES
K 39.10 K.upf
S 32.06 S.upf
Cd 112.41 Cd.upf
ATOMIC_POSITIONS angstrom
K 0.000 0.000 0.000
S 5.061 2.530 2.453
S 2.530 5.061 2.453
Cd 2.530 2.530 1.451
Cd 5.061 5.061 3.455
CELL_PARAMETERS angstrom
5.061 0.000 0.000
0.000 5.061 0.000
2.530 2.530 4.906
! Total energy (eV/atom): -2.768
! Energy relative to the elements, uncorrected (meV/atom): -531
! E above lowest polymorph (kJ per mole of atoms): 0.0